A plane-wave DFT calculation with PBE-GGA was carried out for a geometry-optimized SmSeO structure.

Lattice parameters (Å, degrees): 6.4774 6.4774 13.6319 90.00 90.00 120.00
Last column: nearest neighbours and their distance in Å.
Fractional positions:
Sm  0.0000  0.0000  0.2500  3 O 2.17
Sm  0.0000  0.0000  0.7500  3 O 2.17
Sm  0.3333  0.6667  0.1358  3 O 2.24
Sm  0.3333  0.6667  0.3642  3 O 2.24
Sm  0.6667  0.3333  0.6358  3 O 2.24
Sm  0.6667  0.3333  0.8642  3 O 2.24
Se  0.0000  0.2582  0.0000  2 Se 2.90, 2 Sm 3.06
Se  0.0000  0.2582  0.5000  2 Se 2.90, 2 Sm 3.06
Se  0.2582  0.0000  0.0000  2 Se 2.90, 2 Sm 3.06
Se  0.2582  0.0000  0.5000  2 Se 2.90, 2 Sm 3.06
Se  0.7418  0.7418  0.0000  2 Se 2.90, 2 Sm 3.06
Se  0.7418  0.7418  0.5000  2 Se 2.90, 2 Sm 3.06
O  0.1492  0.7654  0.2500  3 Sm 2.17-2.24
O  0.2346  0.3839  0.2500  3 Sm 2.17-2.24
O  0.3839  0.2346  0.7500  3 Sm 2.17-2.24
O  0.6161  0.8508  0.2500  3 Sm 2.17-2.24
O  0.7654  0.1492  0.7500  3 Sm 2.17-2.24
O  0.8508  0.6161  0.7500  3 Sm 2.17-2.24

Output
- E_form (uncorrected) (eV per atom) = -2.043
- size of the total moment (μB/cell) = 0.0

---

A plane-wave DFT calculation with PBE-GGA was carried out for a geometry-optimized Sm4Se3O2 structure.

Lattice parameters (Å, degrees): 6.8322 6.8322 8.9671 120.63 120.63 33.79
Last column: nearest neighbours and their distance in Å.
Fractional positions:
Sm  0.1096  0.1096  0.4001  3 O 2.32-2.33
Sm  0.3166  0.3166  0.8948  1 O 2.34
Sm  0.6834  0.6834  0.1052  1 O 2.34
Sm  0.8904  0.8904  0.5999  3 O 2.32-2.33
Se  0.0000  0.0000  0.0000  6 Sm 2.86-3.07
Se  0.3856  0.3856  0.2810  5 Sm 3.00-3.21
Se  0.6144  0.6144  0.7190  5 Sm 3.00-3.21
O  0.3115  0.3115  0.6301  4 Sm 2.32-2.34
O  0.6885  0.6885  0.3699  4 Sm 2.32-2.34

Output
- E_form (uncorrected) (eV per atom) = -2.420
- size of the total moment (μB/cell) = 0.0

---

A plane-wave DFT calculation with PBE-GGA was carried out for a geometry-optimized Sm2SeO2 structure.

Lattice parameters (Å, degrees): 3.9236 3.9236 6.8144 106.65 106.65 90.00
Last column: nearest neighbours and their distance in Å.
Fractional positions:
Sm  0.1555  0.1555  0.3099  4 O 2.29
Sm  0.8445  0.8445  0.6901  4 O 2.29
Se  0.5000  0.5000  0.0000  8 Sm 3.37-3.39, 8 O 3.68
O  0.2500  0.7500  0.5000  4 Sm 2.29
O  0.7500  0.2500  0.5000  4 Sm 2.29

Output
- E_form (uncorrected) (eV per atom) = -3.009
- size of the total moment (μB/cell) = 0.0

---

A plane-wave DFT calculation with PBE-GGA was carried out for a geometry-optimized SmSeO structure.

Lattice parameters (Å, degrees): 9.8088 9.8088 9.8088 22.76 22.76 22.76
Last column: nearest neighbours and their distance in Å.
Fractional positions:
Sm  0.1141  0.1141  0.1141  4 O 2.32-2.40
Sm  0.8859  0.8859  0.8859  4 O 2.32-2.40
Se  0.3718  0.3718  0.3718  3 Sm 3.11, 3 Se 3.14
Se  0.6282  0.6282  0.6282  3 Sm 3.11, 3 Se 3.14
O  0.1979  0.1979  0.1979  4 Sm 2.32-2.40
O  0.8021  0.8021  0.8021  4 Sm 2.32-2.40

Output
- E_form (uncorrected) (eV per atom) = -2.186
- size of the total moment (μB/cell) = 0.0

---

A plane-wave DFT calculation with PBE-GGA was carried out for a geometry-optimized Sm6SeO8 structure.

Lattice parameters (Å, degrees): 7.4783 7.4783 7.4783 53.30 53.30 53.30
Last column: nearest neighbours and their distance in Å.
Fractional positions:
Sm  0.0757  0.4445  0.7474  4 O 2.29-2.36
Sm  0.2526  0.9243  0.5555  4 O 2.29-2.36
Sm  0.4445  0.7474  0.0757  4 O 2.29-2.36
Sm  0.5555  0.2526  0.9243  4 O 2.29-2.36
Sm  0.7474  0.0757  0.4445  4 O 2.29-2.36
Sm  0.9243  0.5555  0.2526  4 O 2.29-2.36
Se  0.0000  0.0000  0.0000  6 Sm 2.90, 6 O 3.19
O  0.1299  0.7934  0.4410  4 Sm 2.29-2.36
O  0.2066  0.5590  0.8701  4 Sm 2.29-2.36
O  0.3193  0.3193  0.3193  3 Sm 2.56
O  0.4410  0.1299  0.7934  4 Sm 2.29-2.36
O  0.5590  0.8701  0.2066  4 Sm 2.29-2.36
O  0.6807  0.6807  0.6807  3 Sm 2.56
O  0.7934  0.4410  0.1299  4 Sm 2.29-2.36
O  0.8701  0.2066  0.5590  4 Sm 2.29-2.36

Output
- E_form (uncorrected) (eV per atom) = -3.205
- size of the total moment (μB/cell) = 0.0

---

A plane-wave DFT calculation with PBE-GGA was carried out for a geometry-optimized Sm2Se5O13 structure.

Lattice parameters (Å, degrees): 10.4898 10.6588 13.1767 90.00 112.29 90.00
Last column: nearest neighbours and their distance in Å.
Fractional positions:
Sm  0.0720  0.1875  0.4127  8 O 2.34-2.62
Sm  0.0720  0.3125  0.9127  8 O 2.34-2.62
Sm  0.1684  0.7426  0.9113  8 O 2.35-2.58
Sm  0.1684  0.7574  0.4113  8 O 2.35-2.58
Sm  0.8316  0.2426  0.5887  8 O 2.35-2.58
Sm  0.8316  0.2574  0.0887  8 O 2.35-2.58
Sm  0.9280  0.6875  0.0873  8 O 2.34-2.62
Sm  0.9280  0.8125  0.5873  8 O 2.34-2.62
Se  0.0920  0.0638  0.7303  3 O 1.75
Se  0.0920  0.4362  0.2303  3 O 1.75
Se  0.1533  0.0865  0.1763  3 O 1.68-1.88
Se  0.1533  0.4135  0.6763  3 O 1.68-1.88
Se  0.3300  0.7246  0.1957  3 O 1.67-1.85
Se  0.3300  0.7754  0.6957  3 O 1.67-1.85
Se  0.3506  0.0606  0.0375  3 O 1.69-1.84
Se  0.3506  0.4394  0.5375  3 O 1.69-1.84
Se  0.4024  0.0163  0.5995  2 O 1.67-1.70
Se  0.4024  0.4837  0.0995  2 O 1.67-1.70
Se  0.5976  0.5163  0.9005  2 O 1.67-1.70
Se  0.5976  0.9837  0.4005  2 O 1.67-1.70
Se  0.6494  0.5606  0.4625  3 O 1.69-1.84
Se  0.6494  0.9394  0.9625  3 O 1.69-1.84
Se  0.6700  0.2246  0.3043  3 O 1.67-1.85
Se  0.6700  0.2754  0.8043  3 O 1.67-1.85
Se  0.8467  0.5865  0.3237  3 O 1.68-1.88
Se  0.8467  0.9135  0.8237  3 O 1.68-1.88
Se  0.9080  0.5638  0.7697  3 O 1.75
Se  0.9080  0.9362  0.2697  3 O 1.75
O  0.0191  0.6602  0.7332  1 Se 1.75
O  0.0191  0.8398  0.2332  1 Se 1.75
O  0.0288  0.5413  0.9032  1 Se 1.75
O  0.0288  0.9587  0.4032  1 Se 1.75
O  0.0596  0.2029  0.0867  1 Se 1.74
O  0.0596  0.2971  0.5867  1 Se 1.74
O  0.0714  0.5851  0.2769  1 Se 1.75
O  0.0714  0.9149  0.7769  1 Se 1.75
O  0.1630  0.7212  0.0984  1 Se 1.73
O  0.1630  0.7788  0.5984  1 Se 1.73
O  0.2105  0.1500  0.3024  1 Se 1.68
O  0.2105  0.3500  0.8024  1 Se 1.68
O  0.2129  0.1296  0.9410  1 Se 1.69
O  0.2129  0.3704  0.4410  1 Se 1.69
O  0.2743  0.1212  0.5550  1 Se 1.67
O  0.2743  0.3788  0.0550  1 Se 1.67
O  0.3095  0.5938  0.5199  1 Se 1.69
O  0.3095  0.9062  0.0199  1 Se 1.69
O  0.3179  0.7418  0.8158  1 Se 1.67
O  0.3179  0.7582  0.3158  1 Se 1.67
O  0.3255  0.1007  0.1642  2 Se 1.84-1.88
O  0.3255  0.3993  0.6642  2 Se 1.84-1.88
O  0.3580  0.6065  0.0109  1 Se 1.70
O  0.3580  0.8935  0.5109  1 Se 1.70
O  0.3587  0.5539  0.2149  2 Se 1.85-1.90
O  0.3587  0.9461  0.7149  2 Se 1.85-1.90
O  0.6413  0.0539  0.2851  2 Se 1.85-1.90
O  0.6413  0.4461  0.7851  2 Se 1.85-1.90
O  0.6420  0.1065  0.4891  1 Se 1.70
O  0.6420  0.3935  0.9891  1 Se 1.70
O  0.6745  0.6007  0.3358  2 Se 1.84-1.88
O  0.6745  0.8993  0.8358  2 Se 1.84-1.88
O  0.6821  0.2418  0.6842  1 Se 1.67
O  0.6821  0.2582  0.1842  1 Se 1.67
O  0.6905  0.0938  0.9801  1 Se 1.69
O  0.6905  0.4062  0.4801  1 Se 1.69
O  0.7257  0.6212  0.9450  1 Se 1.67
O  0.7257  0.8788  0.4450  1 Se 1.67
O  0.7871  0.6296  0.5590  1 Se 1.69
O  0.7871  0.8704  0.0590  1 Se 1.69
O  0.7895  0.6500  0.1976  1 Se 1.68
O  0.7895  0.8500  0.6976  1 Se 1.68
O  0.8370  0.2212  0.4016  1 Se 1.73
O  0.8370  0.2788  0.9016  1 Se 1.73
O  0.9286  0.0851  0.2231  1 Se 1.75
O  0.9286  0.4149  0.7231  1 Se 1.75
O  0.9404  0.7029  0.4133  1 Se 1.74
O  0.9404  0.7971  0.9133  1 Se 1.74
O  0.9712  0.0413  0.5968  1 Se 1.75
O  0.9712  0.4587  0.0968  1 Se 1.75
O  0.9809  0.1602  0.7668  1 Se 1.75
O  0.9809  0.3398  0.2668  1 Se 1.75

Output
- E_form (uncorrected) (eV per atom) = -1.531
- size of the total moment (μB/cell) = 0.0

---

A plane-wave DFT calculation with PBE-GGA was carried out for a geometry-optimized SmSe2O6 structure.

Lattice parameters (Å, degrees): 6.9039 6.9039 7.2618 118.00 118.00 69.95
Last column: nearest neighbours and their distance in Å.
Fractional positions:
Sm  0.1605  0.8395  0.7500  8 O 2.44-2.62
Sm  0.8395  0.1605  0.2500  8 O 2.44-2.62
Se  0.3077  0.3152  0.2874  3 O 1.70-1.75
Se  0.3152  0.3077  0.7874  3 O 1.70-1.75
Se  0.6848  0.6923  0.2126  3 O 1.70-1.75
Se  0.6923  0.6848  0.7126  3 O 1.70-1.75
O  0.0837  0.1769  0.6400  1 Se 1.73
O  0.1769  0.0837  0.1400  1 Se 1.73
O  0.2105  0.4340  0.5075  1 Se 1.75
O  0.2269  0.5799  0.9217  1 Se 1.70
O  0.4201  0.7731  0.5783  1 Se 1.70
O  0.4340  0.2105  0.0075  1 Se 1.75
O  0.5660  0.7895  0.9925  1 Se 1.75
O  0.5799  0.2269  0.4217  1 Se 1.70
O  0.7731  0.4201  0.0783  1 Se 1.70
O  0.7895  0.5660  0.4925  1 Se 1.75
O  0.8231  0.9163  0.8600  1 Se 1.73
O  0.9163  0.8231  0.3600  1 Se 1.73

Output
- E_form (uncorrected) (eV per atom) = -1.467
- size of the total moment (μB/cell) = 0.0

---

A plane-wave DFT calculation with PBE-GGA was carried out for a geometry-optimized Sm3Se2O structure.

Lattice parameters (Å, degrees): 8.0668 8.0668 5.6990 90.00 90.00 60.06
Last column: nearest neighbours and their distance in Å.
Fractional positions:
Sm  0.1189  0.8811  0.7500  1 O 2.28
Sm  0.1214  0.5762  0.2500  1 O 2.29
Sm  0.4238  0.8786  0.2500  1 O 2.29
Sm  0.5762  0.1214  0.7500  1 O 2.29
Sm  0.8786  0.4238  0.7500  1 O 2.29
Sm  0.8811  0.1189  0.2500  1 O 2.28
Se  0.2053  0.4858  0.7500  5 Sm 2.90-2.97
Se  0.4858  0.2053  0.2500  5 Sm 2.90-2.97
Se  0.5142  0.7947  0.7500  5 Sm 2.90-2.97
Se  0.7947  0.5142  0.2500  5 Sm 2.90-2.97
O  0.1638  0.8362  0.2500  3 Sm 2.28-2.29
O  0.8362  0.1638  0.7500  3 Sm 2.28-2.29

Output
- E_form (uncorrected) (eV per atom) = -1.903
- size of the total moment (μB/cell) = 0.0

---

Q: size of the total moment of number 1 (SmSeO)?
A: 0.0 μB/cell